The following is a DFT calculation (PBE) of a relaxed TaBr2Cl crystal.

The calculation puts the magnetization at 0.31 μB/f.u. For the uncorrected formation energy, the calculation gives -0.533 eV/atom. As for the offset from the most stable computed form: 89 kJ/mol of formula units. The density of states at the Fermi level comes out at 2.256 states/eV/f.u.

The space group is P1 (No. 1) and the conventional cell measures 3.361, 4.708 and 8.764 Å, with angles of 74.83, 81.02 and 70.57 degrees. The distinct sites, in fractional coordinates, are Ta at (0.000, 0.000, 0.000), Br at (0.061, 0.137, 0.709), Br at (0.943, 0.882, 0.291) and Cl at (0.704, 0.568, 0.000).